No. 1
## CoRe2 (GGA-PBE)

Data for a geometry-optimized CoRe2 structure.

The calculation puts the energy above the most stable polymorph in this dataset at 0.652 eV/atom. Its density is 15.41 g/cm³. The volume comes out at 15.493 A^3/atom. The value obtained for the formation energy is 629 meV/atom.

The space group is P6_3/mmc (No. 194) and the conventional cell measures 5.1142, 5.1142 and 8.2082 Å, with angles of 90.00, 90.00 and 120.00 degrees. The inequivalent atoms are Co at (0.3333, 0.6667, 0.0826), Re at (0.0000, 0.0000, 0.0000) and Re at (0.1737, 0.3473, 0.7500).

***

No. 2
## Co5Re3 (GGA-PBE)

Data for a geometry-optimized Co5Re3 structure.

The calculation puts the energy above the most stable polymorph in this dataset at 0.000 eV/atom. Its density is 14.64 g/cm³. The volume comes out at 12.100 A^3/atom. The value obtained for the formation energy is 74 meV/atom.

The space group is Cmmm (No. 65) and the conventional cell measures 7.285, 7.334 and 3.624 Å, with angles of 90.00, 90.00 and 90.00 degrees. The inequivalent atoms are Co at (0.000, 0.000, 0.000), Co at (0.000, 0.248, 0.500), Co at (0.250, 0.250, 0.000), Re at (0.000, 0.500, 0.000) and Re at (0.238, 0.000, 0.500).

***

No. 3
## Co3Re (GGA-PBE)

Data for a geometry-optimized Co3Re structure.

Its density is 12.91 g/cm³. The volume comes out at 11.671 A^3/atom. The value obtained for the formation energy is 83 meV/atom.

The space group is P2/m (No. 10) and the conventional cell measures 2.593, 3.559 and 5.058 Å, with angles of 90.00, 90.49 and 90.00 degrees. The inequivalent atoms are Co at (0.000, 0.000, 0.000), Co at (0.498, 0.500, 0.242) and Re at (0.000, 0.000, 0.500).

***

No. 4
## Co3Re (GGA-PBE)

Data for a geometry-optimized Co3Re structure.

Its density is 12.85 g/cm³. The volume comes out at 11.731 A^3/atom. The value obtained for the formation energy is 75 meV/atom.

The space group is Imm2 (No. 44) and the conventional cell measures 2.599, 8.172 and 4.419 Å, with angles of 90.00, 90.00 and 90.00 degrees. The inequivalent atoms are Co at (0.000, 0.000, 0.000), Co at (0.000, 0.253, 0.661) and Re at (0.000, 0.500, 0.003).

***

No. 5
## CoRe2 (GGA-PBE)

Data for a geometry-optimized CoRe2 structure.

The calculation puts the energy above the most stable polymorph in this dataset at 0.058 eV/atom. Its density is 17.67 g/cm³. The volume comes out at 13.511 A^3/atom. The value obtained for the formation energy is 35 meV/atom.

The space group is C2/m (No. 12) and the conventional cell measures 9.819, 2.698 and 6.322 Å, with angles of 90.00, 104.52 and 90.00 degrees. The inequivalent atoms are Co at (0.028, 0.000, 0.309), Re at (0.135, 0.500, 0.026) and Re at (0.184, 0.500, 0.636).

***

No. 6
## CoRe2 (GGA-PBE)

Data for a geometry-optimized CoRe2 structure.

The calculation puts the energy above the most stable polymorph in this dataset at 0.107 eV/atom. Its density is 17.70 g/cm³. The volume comes out at 13.490 A^3/atom. The value obtained for the formation energy is 85 meV/atom.

The space group is Pnma (No. 62) and the conventional cell measures 5.231, 4.014 and 7.710 Å, with angles of 90.00, 90.00 and 90.00 degrees. The inequivalent atoms are Co at (0.206, 0.250, 0.117), Re at (0.060, 0.250, 0.786) and Re at (0.177, 0.250, 0.439).

***

No. 7
## CoRe4 (GGA-PBE)

Data for a geometry-optimized CoRe4 structure.

The calculation puts the energy above the most stable polymorph in this dataset at 0.000 eV/atom. Its density is 18.79 g/cm³. The volume comes out at 14.206 A^3/atom. The value obtained for the formation energy is 65 meV/atom.

The space group is I4/m (No. 87) and the conventional cell measures 6.054, 6.054 and 3.876 Å, with angles of 90.00, 90.00 and 90.00 degrees. The inequivalent atoms are Co at (0.000, 0.000, 0.000) and Re at (0.104, 0.293, 0.500).

***

No. 8
## CoRe2 (GGA-PBE)

Data for a geometry-optimized CoRe2 structure.

The calculation puts the energy above the most stable polymorph in this dataset at 0.178 eV/atom. Its density is 17.33 g/cm³. The volume comes out at 13.780 A^3/atom. The value obtained for the formation energy is 155 meV/atom.

The space group is P-3m1 (No. 164) and the conventional cell measures 2.7111, 2.7111 and 6.4945 Å, with angles of 90.00, 90.00 and 120.00 degrees. The inequivalent atoms are Co at (0.0000, 0.0000, 0.0000) and Re at (0.3333, 0.6667, 0.3246).

***

No. 9
## CoRe5 (GGA-PBE)

Data for a geometry-optimized CoRe5 structure.

The calculation puts the energy above the most stable polymorph in this dataset at 0.097 eV/atom. Its density is 19.16 g/cm³. The volume comes out at 14.301 A^3/atom. The value obtained for the formation energy is 96 meV/atom.

The space group is P4/mmm (No. 123) and the conventional cell measures 2.728, 2.728 and 11.533 Å, with angles of 90.00, 90.00 and 90.00 degrees. The inequivalent atoms are Co at (0.000, 0.000, 0.000), Re at (0.000, 0.000, 0.327), Re at (0.500, 0.500, 0.154) and Re at (0.500, 0.500, 0.500).

***

No. 10
## Co3Re (GGA-PBE)

Data for a geometry-optimized Co3Re structure.

Its density is 12.39 g/cm³. The volume comes out at 12.162 A^3/atom. The value obtained for the formation energy is 169 meV/atom.

The space group is R-3m (No. 166, hexagonal axes) and the conventional cell measures 2.6163, 2.6163 and 24.6198 Å, with angles of 90.00, 90.00 and 120.00 degrees. The inequivalent atoms are Co at (0.0000, 0.0000, 0.0000), Co at (0.0000, 0.0000, 0.2534) and Re at (0.0000, 0.0000, 0.5000).

***

No. 11
## Co5Re4 (GGA-PBE)

Data for a geometry-optimized Co5Re4 structure.

The calculation puts the energy above the most stable polymorph in this dataset at 0.087 eV/atom. Its density is 15.09 g/cm³. The volume comes out at 12.710 A^3/atom. The value obtained for the formation energy is 179 meV/atom.

The space group is P6_3/mcm (No. 193) and the conventional cell measures 7.1767, 7.1767 and 5.1289 Å, with angles of 90.00, 90.00 and 120.00 degrees. The inequivalent atoms are Co at (0.0000, 0.3329, 0.2500), Co at (0.3333, 0.6667, 0.0000), Re at (0.0000, 0.0000, 0.0000) and Re at (0.0000, 0.3378, 0.7500).

***

No. 12
## CoRe2 (GGA-PBE)

Data for a geometry-optimized CoRe2 structure.

The calculation puts the energy above the most stable polymorph in this dataset at 0.060 eV/atom. Its density is 17.65 g/cm³. The volume comes out at 13.524 A^3/atom. The value obtained for the formation energy is 38 meV/atom.

The space group is I4_1/amd (No. 141, origin choice 2) and the conventional cell measures 3.799, 3.799 and 22.488 Å, with angles of 90.00, 90.00 and 90.00 degrees. The inequivalent atoms are Co at (0.000, 0.250, 0.291), Re at (0.000, 0.250, 0.126) and Re at (0.000, 0.250, 0.789).